VASP calculation (PBE) on Mg2SnSe4 after structural relaxation.

E   -108.6 eV/cell
Formation energy without anion corrections   -19.8 kcal/mol of atoms
Magnetic moment   0.00 μB/f.u.
E above lowest polymorph   0 kJ/mol of formula units

Lattice parameters (Å, degrees): 6.584 7.992 13.823 90.00 90.00 90.00
Atoms (fractional coordinates):
Mg: 0.500 0.000 0.500
Mg: 0.000 0.500 0.000
Mg: 0.500 0.500 0.500
Mg: 0.000 0.000 0.000
Mg: 0.501 0.750 0.769
Mg: 0.999 0.750 0.269
Mg: 0.499 0.250 0.231
Mg: 0.001 0.250 0.731
Sn: 0.920 0.750 0.588
Sn: 0.580 0.750 0.088
Sn: 0.080 0.250 0.412
Sn: 0.420 0.250 0.912
Se: 0.305 0.750 0.593
Se: 0.195 0.750 0.093
Se: 0.695 0.250 0.407
Se: 0.805 0.250 0.907
Se: 0.743 0.750 0.422
Se: 0.757 0.750 0.922
Se: 0.257 0.250 0.578
Se: 0.243 0.250 0.078
Se: 0.738 0.997 0.669
Se: 0.762 0.503 0.169
Se: 0.262 0.497 0.331
Se: 0.238 0.003 0.831
Se: 0.262 0.003 0.331
Se: 0.238 0.497 0.831
Se: 0.738 0.503 0.669
Se: 0.762 0.997 0.169

***

VASP calculation (PBE) on Mg2SnSe after structural relaxation.

E   -24.3 eV/cell
Formation energy without anion corrections   -8.4 kcal/mol of atoms
Magnetic moment   0.00 μB/f.u.
E above lowest polymorph   84 kJ/mol of formula units

Lattice parameters (Å, degrees): 6.878 6.878 7.046 60.79 60.79 90.00
Atoms (fractional coordinates):
Mg: 0.583 0.125 0.250
Mg: 0.167 0.625 0.250
Mg: 0.375 0.417 0.750
Mg: 0.875 0.833 0.750
Sn: 0.000 0.000 0.000
Sn: 0.750 0.250 0.500
Se: 0.500 0.500 0.000
Se: 0.250 0.750 0.500

***

VASP calculation (PBE) on Mg3Sn5Se12 after structural relaxation.

E   -302.9 eV/cell
Formation energy without anion corrections   -10.5 kcal/mol of atoms
Magnetic moment   0.00 μB/f.u.

Lattice parameters (Å, degrees): 14.282 14.282 14.282 109.47 109.47 109.47
Atoms (fractional coordinates):
Mg: 0.750 0.375 0.125
Mg: 0.875 0.750 0.125
Mg: 0.375 0.750 0.625
Mg: 0.250 0.125 0.375
Mg: 0.875 0.125 0.250
Mg: 0.375 0.625 0.250
Mg: 0.625 0.375 0.750
Mg: 0.125 0.875 0.750
Mg: 0.750 0.875 0.625
Mg: 0.625 0.250 0.375
Mg: 0.125 0.250 0.875
Mg: 0.250 0.625 0.875
Sn: 0.125 0.375 0.250
Sn: 0.000 0.500 0.000
Sn: 0.000 0.000 0.000
Sn: 0.375 0.250 0.125
Sn: 0.500 0.000 0.500
Sn: 0.500 0.500 0.000
Sn: 0.125 0.750 0.375
Sn: 0.750 0.125 0.875
Sn: 0.750 0.625 0.375
Sn: 0.375 0.125 0.750
Sn: 0.625 0.875 0.250
Sn: 0.500 0.500 0.500
Sn: 0.500 0.000 0.000
Sn: 0.000 0.000 0.500
Sn: 0.250 0.375 0.625
Sn: 0.250 0.875 0.125
Sn: 0.000 0.500 0.500
Sn: 0.875 0.250 0.625
Sn: 0.625 0.750 0.875
Sn: 0.875 0.625 0.750
Se: 0.724 0.137 0.049
Se: 0.325 0.549 0.412
Se: 0.951 0.363 0.276
Se: 0.549 0.224 0.137
Se: 0.587 0.724 0.675
Se: 0.951 0.588 0.175
Se: 0.325 0.776 0.413
Se: 0.088 0.913 0.137
Se: 0.588 0.951 0.675
Se: 0.724 0.587 0.175
Se: 0.776 0.451 0.363
Se: 0.825 0.912 0.049
Se: 0.137 0.724 0.549
Se: 0.363 0.412 0.087
Se: 0.087 0.912 0.363
Se: 0.413 0.137 0.588
Se: 0.087 0.175 0.224
Se: 0.451 0.675 0.088
Se: 0.825 0.913 0.276
Se: 0.137 0.413 0.088
Se: 0.363 0.951 0.776
Se: 0.588 0.637 0.413
Se: 0.912 0.825 0.549
Se: 0.776 0.325 0.913
Se: 0.412 0.363 0.587
Se: 0.088 0.175 0.451
Se: 0.224 0.675 0.087
Se: 0.175 0.087 0.724
Se: 0.637 0.049 0.224
Se: 0.863 0.587 0.912
Se: 0.549 0.325 0.912
Se: 0.587 0.863 0.412
Se: 0.913 0.825 0.776
Se: 0.913 0.088 0.637
Se: 0.863 0.276 0.451
Se: 0.175 0.088 0.951
Se: 0.637 0.588 0.913
Se: 0.412 0.049 0.325
Se: 0.276 0.413 0.825
Se: 0.224 0.549 0.637
Se: 0.912 0.087 0.863
Se: 0.675 0.224 0.587
Se: 0.451 0.776 0.863
Se: 0.049 0.412 0.825
Se: 0.413 0.276 0.325
Se: 0.049 0.637 0.724
Se: 0.675 0.451 0.588
Se: 0.276 0.863 0.951

***

VASP calculation (PBE) on Mg4SnSe6 after structural relaxation.

E   -83.2 eV/cell
Formation energy without anion corrections   -21.6 kcal/mol of atoms
Magnetic moment   0.00 μB/f.u.

Lattice parameters (Å, degrees): 7.412 7.497 13.369 72.66 73.91 60.38
Atoms (fractional coordinates):
Mg: 0.294 0.998 0.652
Mg: 0.056 0.498 0.152
Mg: 0.810 0.133 0.454
Mg: 0.603 0.633 0.954
Mg: 0.924 0.681 0.665
Mg: 0.730 0.181 0.165
Mg: 0.628 0.256 0.785
Mg: 0.332 0.756 0.285
Sn: 0.688 0.766 0.409
Sn: 0.137 0.266 0.909
Se: 0.392 0.538 0.147
Se: 0.923 0.038 0.647
Se: 0.517 0.529 0.463
Se: 0.491 0.029 0.963
Se: 0.445 0.123 0.458
Se: 0.975 0.623 0.958
Se: 0.832 0.178 0.958
Se: 0.032 0.678 0.458
Se: 0.019 0.154 0.255
Se: 0.572 0.654 0.755
Se: 0.262 0.330 0.708
Se: 0.699 0.830 0.208

***

VASP calculation (PBE) on Mg2SnSe after structural relaxation.

E   -11.1 eV/cell
Formation energy without anion corrections   -2.4 kcal/mol of atoms
Magnetic moment   0.00 μB/f.u.
E above lowest polymorph   186 kJ/mol of formula units

Lattice parameters (Å, degrees): 3.856 3.856 9.069 77.72 77.72 60.00
Atoms (fractional coordinates):
Mg: 0.092 0.092 0.725
Mg: 0.908 0.908 0.275
Sn: 0.500 0.500 0.500
Se: 0.000 0.000 0.000

***

VASP calculation (PBE) on Mg2Sn2Se after structural relaxation.

E   -31.3 eV/cell
Formation energy without anion corrections   -4.4 kcal/mol of atoms
Magnetic moment   0.00 μB/f.u.

Lattice parameters (Å, degrees): 7.289 7.289 4.697 90.00 90.00 90.00
Atoms (fractional coordinates):
Mg: 0.343 0.843 0.000
Mg: 0.843 0.657 0.000
Mg: 0.657 0.157 0.000
Mg: 0.157 0.343 0.000
Sn: 0.144 0.644 0.500
Sn: 0.644 0.856 0.500
Sn: 0.856 0.356 0.500
Sn: 0.356 0.144 0.500
Se: 0.000 0.000 0.000
Se: 0.500 0.500 0.000

***

VASP calculation (PBE) on Mg3SnSe4 after structural relaxation.

E   -30.4 eV/cell
Formation energy without anion corrections   -22.1 kcal/mol of atoms
Magnetic moment   0.00 μB/f.u.

Lattice parameters (Å, degrees): 6.220 6.220 7.551 114.32 114.32 90.00
Atoms (fractional coordinates):
Mg: 0.500 0.500 0.000
Mg: 0.750 0.250 0.500
Mg: 0.250 0.750 0.500
Sn: 0.000 0.000 0.000
Se: 0.408 0.408 0.270
Se: 0.862 0.862 0.270
Se: 0.138 0.592 0.730
Se: 0.592 0.138 0.730

***

VASP calculation (PBE) on MgSn2Se after structural relaxation.

E   -25.8 eV/cell
Formation energy without anion corrections   1.2 kcal/mol of atoms
Magnetic moment   0.00 μB/f.u.

Lattice parameters (Å, degrees): 6.588 6.588 7.927 65.44 65.44 90.00
Atoms (fractional coordinates):
Mg: 0.500 0.500 0.000
Mg: 0.250 0.750 0.500
Sn: 0.631 0.125 0.250
Sn: 0.119 0.625 0.250
Sn: 0.375 0.369 0.750
Sn: 0.875 0.881 0.750
Se: 0.000 0.000 0.000
Se: 0.750 0.250 0.500

***

VASP calculation (PBE) on MgSnSe2 after structural relaxation.

E   -30.5 eV/cell
Formation energy without anion corrections   -15.4 kcal/mol of atoms
Magnetic moment   0.00 μB/f.u.

Lattice parameters (Å, degrees): 6.478 6.478 7.718 65.19 65.19 90.00
Atoms (fractional coordinates):
Mg: 0.500 0.500 0.000
Mg: 0.250 0.750 0.500
Sn: 0.000 0.000 0.000
Sn: 0.750 0.250 0.500
Se: 0.582 0.125 0.250
Se: 0.168 0.625 0.250
Se: 0.375 0.418 0.750
Se: 0.875 0.832 0.750

***

VASP calculation (PBE) on MgSn3Se4 after structural relaxation.

E   -32.4 eV/cell
Formation energy without anion corrections   -13.9 kcal/mol of atoms
Magnetic moment   0.00 μB/f.u.

Lattice parameters (Å, degrees): 4.191 4.191 13.995 81.39 81.39 60.00
Atoms (fractional coordinates):
Mg: 0.000 0.000 0.000
Sn: 0.747 0.747 0.759
Sn: 0.500 0.500 0.500
Sn: 0.253 0.253 0.241
Se: 0.631 0.631 0.106
Se: 0.877 0.877 0.370
Se: 0.369 0.369 0.894
Se: 0.123 0.123 0.630

***

VASP calculation (PBE) on MgSnSe2 after structural relaxation.

E   -15.6 eV/cell
Formation energy without anion corrections   -17.2 kcal/mol of atoms
Magnetic moment   0.00 μB/f.u.

Lattice parameters (Å, degrees): 4.016 4.016 7.431 74.32 74.32 60.00
Atoms (fractional coordinates):
Mg: 0.669 0.669 0.992
Sn: 0.500 0.500 0.499
Se: 0.071 0.071 0.787
Se: 0.259 0.259 0.222

***

VASP calculation (PBE) on MgSn3Se after structural relaxation.

E   -15.3 eV/cell
Formation energy without anion corrections   8.4 kcal/mol of atoms
Magnetic moment   0.00 μB/f.u.
E above lowest polymorph   0 kJ/mol of formula units

Lattice parameters (Å, degrees): 5.544 5.544 5.544 90.00 90.00 90.00
Atoms (fractional coordinates):
Mg: 0.500 0.500 0.500
Sn: 0.000 0.500 0.000
Sn: 0.000 0.000 0.500
Sn: 0.500 0.000 0.000
Se: 0.000 0.000 0.000